# Li11V6O5F19

A relaxed Li11V6O5F19 crystal (GGA+U, the Alexandria database).

Summary:
**VASP energy**: -5.775 eV per atom

Structure (CIF):
```
data_Li11V6O5F19
_space_group_name_H-M_alt 'P 1'
_space_group_IT_number 1
_cell_length_a 5.026
_cell_length_b 5.602
_cell_length_c 16.266
_cell_angle_alpha 81.03
_cell_angle_beta 88.61
_cell_angle_gamma 87.89
loop_
_space_group_symop_operation_xyz
'x,y,z'
loop_
_atom_site_label
_atom_site_fract_x
_atom_site_fract_y
_atom_site_fract_z
Li1 0.000 0.000 0.000
Li2 0.001 0.106 0.292
Li3 0.016 0.658 0.665
Li4 0.381 0.461 0.999
Li5 0.407 0.099 0.664
Li6 0.488 0.391 0.225
Li7 0.508 0.051 0.892
Li8 0.518 0.648 0.557
Li9 0.892 0.500 0.888
Li10 0.916 0.183 0.555
Li11 0.926 0.688 0.239
V1 0.435 0.926 0.114
V2 0.455 0.576 0.776
V3 0.483 0.249 0.440
V4 0.929 0.420 0.107
V5 0.957 0.077 0.776
V6 0.962 0.715 0.445
O1 0.193 0.199 0.068
O2 0.210 0.847 0.735
O3 0.676 0.647 0.151
O4 0.702 0.308 0.815
O5 0.729 0.455 0.483
F1 0.113 0.391 0.221
F2 0.134 0.036 0.887
F3 0.148 0.696 0.552
F4 0.181 0.702 0.058
F5 0.198 0.023 0.406
F6 0.207 0.353 0.721
F7 0.220 0.892 0.219
F8 0.237 0.517 0.393
F9 0.263 0.520 0.886
F10 0.289 0.200 0.552
F11 0.628 0.977 0.002
F12 0.646 0.632 0.664
F13 0.655 0.276 0.330
F14 0.684 0.154 0.163
F15 0.704 0.802 0.829
F16 0.704 0.950 0.496
F17 0.752 0.464 0.996
F18 0.780 0.117 0.664
F19 0.815 0.808 0.336
```